No. 1
A relaxed Rb2SnBiAu crystal, computed with GGA-PBE.

```
5
Lattice="-4.238 3.169 4.891 -4.134 0.280 -3.764 -2.376 -6.461 2.128" Properties=species:S:1:pos:R:3 pbc="T T T"
Rb -2.119 1.584 2.445
Rb -1.188 -3.231 1.064
Sn 0.000 0.000 0.000
Au -5.374 -1.506 1.627
Bi -2.067 0.140 -1.882
```

- VASP energy (eV per atom) = -2.4560
- energy above the most stable polymorph in this dataset (meV/atom) = 0
- symmetry = P4/mmm
- DFT formation energy (eV per formula unit) = 0.82

=====

No. 2
A relaxed Rb2SnBiAu crystal, computed with GGA-PBE.

```
5
Lattice="-6.815 1.899 0.546 0.022 -1.321 4.868 1.975 6.580 1.776" Properties=species:S:1:pos:R:3 pbc="T T T"
Bi -2.409 3.579 3.595
Au 0.011 -0.660 2.434
Rb -3.407 0.949 0.273
Sn 0.000 0.000 0.000
Rb 0.988 3.290 0.888
```

- VASP energy (eV per atom) = -2.4046
- energy above the most stable polymorph in this dataset (meV/atom) = 51
- symmetry = P4/mmm
- DFT formation energy (eV per formula unit) = 1.07

=====

No. 3
A relaxed RbSnBiAu3 crystal, computed with GGA-PBE.

```
12
Lattice="8.236 0.000 0.000 0.000 7.180 0.000 0.000 -3.590 6.638" Properties=species:S:1:pos:R:3 pbc="T T T"
Rb 6.177 0.000 2.870
Bi 2.059 0.000 6.607
Au 4.118 5.709 0.000
Rb 2.059 3.590 3.768
Sn 6.177 3.590 5.469
Au 2.059 0.000 3.833
Au 6.177 3.590 2.804
Sn 2.059 0.000 1.169
Au 0.000 1.471 0.000
Au 4.118 1.471 0.000
Bi 6.177 3.590 0.031
Au 0.000 5.709 0.000
```

- VASP energy (eV per atom) = -3.2975
- symmetry = Cmcm
- DFT formation energy (eV per formula unit) = -1.10

=====

No. 4
A relaxed RbSnBiAu crystal, computed with GGA-PBE.

```
4
Lattice="-1.043 2.482 4.138 -4.730 0.695 -1.609 1.295 -6.507 1.284" Properties=species:S:1:pos:R:3 pbc="T T T"
Rb -3.197 -2.860 0.909
Au -1.767 -3.248 4.447
Bi -0.969 -0.779 3.167
Sn -2.867 1.008 1.617
```

- VASP energy (eV per atom) = -3.2209
- symmetry = Imm2
- DFT formation energy (eV per formula unit) = -0.75